Entry 1:
EuAsRu | GGA-PBE | relaxed

Cell: 4.189 4.189 4.372 Å, 90.00 90.00 120.00°
Fractional positions:
Eu  0.000  0.000  0.000
As  0.333  0.667  0.500
Ru  0.667  0.333  0.500

Magnetization   6.79 μB per formula unit
Calculated volume   66.4 Å³/f.u.
Space group   P-6m2
Total DFT energy (no corrections)   -25.82 eV per cell
Energy of formation   -0.540 eV/atom
Crystal system   hexagonal


Entry 2:
Mg2CdNi5Ge2 | GGA-PBE | relaxed

Cell: 9.078 9.078 3.524 Å, 90.00 90.00 90.00°
Fractional positions:
Mg  0.173  0.327  0.000
Mg  0.327  0.827  0.000
Mg  0.673  0.173  0.000
Mg  0.827  0.673  0.000
Cd  0.000  0.000  0.000
Cd  0.500  0.500  0.000
Ni  0.000  0.500  0.500
Ni  0.067  0.787  0.500
Ni  0.213  0.067  0.500
Ni  0.287  0.567  0.500
Ni  0.433  0.287  0.500
Ni  0.500  0.000  0.500
Ni  0.567  0.713  0.500
Ni  0.713  0.433  0.500
Ni  0.787  0.933  0.500
Ni  0.933  0.213  0.500
Ge  0.125  0.625  0.000
Ge  0.375  0.125  0.000
Ge  0.625  0.875  0.000
Ge  0.875  0.375  0.000

Magnetization   0.00 μB per formula unit
Calculated volume   145.2 Å³/f.u.
Space group   P4/mbm
Total DFT energy (no corrections)   -88.33 eV per cell
Energy of formation   -0.192 eV/atom
Crystal system   tetragonal


Entry 3:
Ti3IrRh | GGA-PBE | relaxed

Cell: 4.678 4.678 4.678 Å, 90.00 90.00 90.00°
Fractional positions:
Ti  0.000  0.000  0.500
Ti  0.000  0.500  0.000
Ti  0.500  0.000  0.000
Ir  0.000  0.000  0.000
Rh  0.500  0.500  0.500

Magnetization   0.00 μB per formula unit
Calculated volume   102.4 Å³/f.u.
Space group   Pm-3m
Total DFT energy (no corrections)   -37.83 eV per cell
Energy of formation   0.413 eV/atom
Crystal system   cubic


Entry 4:
BaYTe2N | GGA-PBE | relaxed

Cell: 6.039 6.039 4.554 Å, 90.00 90.00 90.00°
Fractional positions:
Ba  0.000  0.000  0.000
Y  0.500  0.500  0.500
Te  0.000  0.500  0.500
Te  0.500  0.000  0.500
N  0.500  0.500  0.000

Magnetization   1.96 μB per formula unit
Calculated volume   166.1 Å³/f.u.
Space group   P4/mmm
Formation energy without anion corrections   -0.758 eV/atom
Total DFT energy (no corrections)   -26.79 eV per cell
Crystal system   tetragonal


Entry 5:
PrTh4Pt5 | GGA-PBE | relaxed

Cell: 11.073 11.073 11.073 Å, 158.06 148.72 38.53°
Fractional positions:
Pr  0.000  0.000  0.000
Th  0.200  0.200  0.000
Th  0.400  0.400  0.000
Th  0.600  0.600  0.000
Th  0.800  0.800  0.000
Pt  0.104  0.604  0.500
Pt  0.301  0.801  0.500
Pt  0.500  0.000  0.500
Pt  0.699  0.199  0.500
Pt  0.896  0.396  0.500

Magnetization   0.00 μB per formula unit
Calculated volume   262.9 Å³/f.u.
Space group   Immm
Total DFT energy (no corrections)   -76.40 eV per cell
Energy of formation   -1.174 eV/atom
Crystal system   orthorhombic


Entry 6:
Tb2SiCl | GGA-PBE | relaxed

Cell: 4.137 4.137 20.087 Å, 90.00 90.00 120.00°
Fractional positions:
Tb  0.000  0.000  0.240
Tb  0.000  0.000  0.760
Tb  0.333  0.667  0.426
Tb  0.333  0.667  0.907
Tb  0.667  0.333  0.093
Tb  0.667  0.333  0.574
Si  0.000  0.000  0.500
Si  0.333  0.667  0.167
Si  0.667  0.333  0.833
Cl  0.000  0.000  0.000
Cl  0.333  0.667  0.667
Cl  0.667  0.333  0.333

Magnetization   0.00 μB per formula unit
Calculated volume   99.2 Å³/f.u.
Space group   R-3m
Formation energy without anion corrections   -1.136 eV/atom
Total DFT energy (no corrections)   -63.22 eV per cell
Crystal system   trigonal


Entry 7:
ZrCo2Tc | GGA-PBE | relaxed

Cell: 3.700 3.888 3.904 Å, 90.00 90.00 90.00°
Fractional positions:
Zr  0.000  0.000  0.000
Co  0.500  0.000  0.500
Co  0.500  0.500  0.000
Tc  0.000  0.500  0.500

Magnetization   0.00 μB per formula unit
Calculated volume   56.2 Å³/f.u.
Space group   Pmmm
Total DFT energy (no corrections)   -33.24 eV per cell
Energy of formation   -0.028 eV/atom
Crystal system   orthorhombic


Entry 8:
NbAlSb2I | GGA-PBE | relaxed

Cell: 5.189 5.189 5.473 Å, 90.00 90.00 90.00°
Fractional positions:
Nb  0.000  0.000  0.000
Al  0.500  0.500  0.500
Sb  0.000  0.500  0.500
Sb  0.500  0.000  0.500
I  0.500  0.500  0.000

Magnetization   2.80 μB per formula unit
Calculated volume   147.3 Å³/f.u.
Space group   P4/mmm
Formation energy without anion corrections   0.952 eV/atom
Total DFT energy (no corrections)   -18.85 eV per cell
Crystal system   tetragonal


Entry 9:
DyYZnCd | GGA-PBE | relaxed

Cell: 3.606 3.606 7.541 Å, 90.00 90.00 90.00°
Fractional positions:
Dy  0.000  0.000  0.000
Y  0.000  0.000  0.538
Zn  0.500  0.500  0.771
Cd  0.500  0.500  0.268

Magnetization   0.00 μB per formula unit
Calculated volume   98.1 Å³/f.u.
Space group   P4mm
Total DFT energy (no corrections)   -14.63 eV per cell
Energy of formation   -0.345 eV/atom
Crystal system   tetragonal


Entry 10:
CrSiMo2 | GGA-PBE | relaxed

Cell: 5.638 6.387 3.099 Å, 90.00 90.00 90.00°
Fractional positions:
Cr  0.000  0.000  0.000
Cr  0.500  0.500  0.000
Si  0.000  0.500  0.000
Si  0.500  0.000  0.000
Mo  0.250  0.250  0.500
Mo  0.250  0.750  0.500
Mo  0.750  0.250  0.500
Mo  0.750  0.750  0.500

Magnetization   0.00 μB per formula unit
Calculated volume   55.8 Å³/f.u.
Space group   Cmmm
Formation energy without anion corrections   -0.020 eV/atom
Total DFT energy (no corrections)   -73.58 eV per cell
Crystal system   orthorhombic


Entry 11:
Cd4In3Bi2 | GGA-PBE | relaxed

Cell: 8.201 8.201 10.188 Å, 121.07 121.07 67.49°
Fractional positions:
Cd  0.018  0.523  0.876
Cd  0.134  0.326  0.398
Cd  0.326  0.134  0.898
Cd  0.477  0.982  0.624
Cd  0.523  0.018  0.376
Cd  0.674  0.866  0.102
Cd  0.866  0.674  0.602
Cd  0.982  0.477  0.124
In  0.102  0.802  0.529
In  0.157  0.843  0.250
In  0.198  0.898  0.971
In  0.802  0.102  0.029
In  0.843  0.157  0.750
In  0.898  0.198  0.471
Bi  0.370  0.433  0.804
Bi  0.433  0.370  0.304
Bi  0.567  0.630  0.696
Bi  0.630  0.567  0.196

Magnetization   0.00 μB per formula unit
Calculated volume   248.2 Å³/f.u.
Space group   C2/c
Total DFT energy (no corrections)   -38.27 eV per cell
Energy of formation   0.056 eV/atom
Crystal system   monoclinic


Entry 12:
SrSiPd2C | GGA-PBE | relaxed

Cell: 4.439 4.439 6.175 Å, 90.00 90.00 90.00°
Fractional positions:
Sr  0.000  0.000  0.000
Si  0.000  0.000  0.500
Pd  0.000  0.500  0.500
Pd  0.500  0.000  0.500
C  0.500  0.500  0.000

Magnetization   1.56 μB per formula unit
Calculated volume   121.7 Å³/f.u.
Space group   P4/mmm
Formation energy without anion corrections   0.954 eV/atom
Total DFT energy (no corrections)   -21.94 eV per cell
Crystal system   tetragonal


Entry 13:
Mg2NiSnPb | GGA-PBE | relaxed

Cell: 4.995 4.995 4.787 Å, 90.00 90.00 90.00°
Fractional positions:
Mg  0.000  0.500  0.000
Mg  0.500  0.000  0.000
Ni  0.000  0.000  0.000
Sn  0.000  0.000  0.500
Pb  0.500  0.500  0.500

Magnetization   0.00 μB per formula unit
Calculated volume   119.4 Å³/f.u.
Space group   P4/mmm
Total DFT energy (no corrections)   -16.89 eV per cell
Energy of formation   -0.042 eV/atom
Crystal system   tetragonal


Entry 14:
Ac2TbPm3 | GGA-PBE | relaxed

Cell: 10.557 10.557 12.394 Å, 92.79 92.79 19.55°
Fractional positions:
Ac  0.122  0.122  0.119
Ac  0.375  0.375  0.378
Ac  0.625  0.625  0.622
Ac  0.878  0.878  0.881
Tb  0.050  0.050  0.850
Tb  0.950  0.950  0.150
Pm  0.201  0.201  0.393
Pm  0.298  0.298  0.107
Pm  0.452  0.452  0.648
Pm  0.548  0.548  0.352
Pm  0.702  0.702  0.893
Pm  0.799  0.799  0.607

Magnetization   0.00 μB per formula unit
Calculated volume   230.9 Å³/f.u.
Space group   C2/m
Total DFT energy (no corrections)   -51.52 eV per cell
Energy of formation   0.224 eV/atom
Crystal system   monoclinic


Entry 15:
KSi2Pt4 | GGA-PBE | relaxed

Cell: 7.895 7.895 3.853 Å, 90.00 90.00 90.00°
Fractional positions:
K  0.000  0.000  0.000
K  0.500  0.500  0.500
Si  0.230  0.230  0.500
Si  0.270  0.730  0.000
Si  0.730  0.270  0.000
Si  0.770  0.770  0.500
Pt  0.081  0.670  0.500
Pt  0.170  0.419  0.000
Pt  0.330  0.919  0.500
Pt  0.419  0.170  0.000
Pt  0.581  0.830  0.000
Pt  0.670  0.081  0.500
Pt  0.830  0.581  0.000
Pt  0.919  0.330  0.500

Magnetization   0.00 μB per formula unit
Calculated volume   120.1 Å³/f.u.
Space group   P4_2/mnm
Formation energy without anion corrections   -0.536 eV/atom
Total DFT energy (no corrections)   -79.72 eV per cell
Crystal system   tetragonal


Entry 16:
LaMgIn2 | GGA-PBE | relaxed

Cell: 6.916 9.451 3.383 Å, 90.00 90.49 90.00°
Fractional positions:
La  0.000  0.000  0.000
La  0.500  0.500  0.000
Mg  0.000  0.500  0.000
Mg  0.500  0.000  0.000
In  0.250  0.250  0.500
In  0.250  0.750  0.500
In  0.750  0.250  0.500
In  0.750  0.750  0.500

Magnetization   0.09 μB per formula unit
Calculated volume   110.6 Å³/f.u.
Space group   C2/m
Total DFT energy (no corrections)   -26.19 eV per cell
Energy of formation   -0.275 eV/atom
Crystal system   monoclinic


Entry 17:
Mg6Ga2Pt | GGA-PBE | relaxed

Cell: 7.850 7.850 4.558 Å, 106.77 106.77 48.53°
Fractional positions:
Mg  0.083  0.594  0.338
Mg  0.236  0.764  0.000
Mg  0.406  0.917  0.662
Mg  0.594  0.083  0.338
Mg  0.764  0.236  0.000
Mg  0.917  0.406  0.662
Ga  0.334  0.334  0.833
Ga  0.666  0.666  0.167
Pt  0.000  0.000  0.500

Magnetization   0.00 μB per formula unit
Calculated volume   199.7 Å³/f.u.
Space group   C2/m
Total DFT energy (no corrections)   -23.98 eV per cell
Energy of formation   -0.258 eV/atom
Crystal system   monoclinic


Entry 18:
Be2SiRu | GGA-PBE | relaxed

Cell: 2.865 4.448 7.443 Å, 90.00 90.00 90.00°
Fractional positions:
Be  0.000  0.000  0.000
Be  0.000  0.500  0.240
Be  0.500  0.000  0.240
Be  0.500  0.500  0.000
Si  0.000  0.500  0.749
Si  0.500  0.000  0.749
Ru  0.000  0.000  0.488
Ru  0.500  0.500  0.488

Magnetization   0.00 μB per formula unit
Calculated volume   47.4 Å³/f.u.
Space group   Cmm2
Formation energy without anion corrections   0.280 eV/atom
Total DFT energy (no corrections)   -42.06 eV per cell
Crystal system   orthorhombic


Entry 19:
Sr2PH4F13 | GGA-PBE | relaxed

Cell: 7.500 7.500 18.150 Å, 90.00 90.00 90.00°
Fractional positions:
Sr  0.234  0.243  0.209
Sr  0.234  0.757  0.291
Sr  0.243  0.234  0.541
Sr  0.243  0.766  0.959
Sr  0.757  0.234  0.459
Sr  0.757  0.766  0.041
Sr  0.766  0.243  0.791
Sr  0.766  0.757  0.709
P  0.279  0.500  0.750
P  0.500  0.279  0.000
P  0.500  0.721  0.500
P  0.721  0.500  0.250
H  0.033  0.114  0.056
H  0.033  0.886  0.444
H  0.114  0.033  0.694
H  0.114  0.967  0.806
H  0.132  0.388  0.377
H  0.132  0.612  0.123
H  0.388  0.132  0.373
H  0.388  0.868  0.127
H  0.612  0.132  0.627
H  0.612  0.868  0.873
H  0.868  0.388  0.623
H  0.868  0.612  0.877
H  0.886  0.033  0.306
H  0.886  0.967  0.194
H  0.967  0.114  0.944
H  0.967  0.886  0.556
F  0.000  0.007  0.500
F  0.000  0.993  0.000
F  0.007  0.000  0.250
F  0.057  0.203  0.097
F  0.057  0.797  0.403
F  0.067  0.338  0.428
F  0.067  0.662  0.072
F  0.127  0.351  0.767
F  0.127  0.649  0.733
F  0.202  0.437  0.322
F  0.202  0.563  0.178
F  0.203  0.057  0.653
F  0.203  0.943  0.847
F  0.280  0.443  0.663
F  0.280  0.557  0.837
F  0.338  0.067  0.322
F  0.338  0.933  0.178
F  0.351  0.127  0.983
F  0.351  0.435  0.984
F  0.351  0.565  0.516
F  0.351  0.873  0.517
F  0.435  0.351  0.766
F  0.435  0.649  0.734
F  0.437  0.202  0.428
F  0.437  0.798  0.072
F  0.443  0.280  0.087
F  0.443  0.720  0.413
F  0.557  0.280  0.913
F  0.557  0.720  0.587
F  0.563  0.202  0.572
F  0.563  0.798  0.928
F  0.565  0.351  0.234
F  0.565  0.649  0.266
F  0.649  0.127  0.017
F  0.649  0.435  0.016
F  0.649  0.565  0.484
F  0.649  0.873  0.483
F  0.662  0.067  0.678
F  0.662  0.933  0.822
F  0.720  0.443  0.337
F  0.720  0.557  0.163
F  0.797  0.057  0.347
F  0.797  0.943  0.153
F  0.798  0.437  0.678
F  0.798  0.563  0.822
F  0.873  0.351  0.233
F  0.873  0.649  0.267
F  0.933  0.338  0.572
F  0.933  0.662  0.928
F  0.943  0.203  0.903
F  0.943  0.797  0.597
F  0.993  0.000  0.750

Magnetization   0.16 μB per formula unit
Calculated volume   255.3 Å³/f.u.
Space group   P4_122
Total DFT energy (no corrections)   -397.84 eV per cell
Crystal system   tetragonal


Entry 20:
NaInTe3As | GGA-PBE | relaxed

Cell: 8.785 4.275 12.712 Å, 90.00 110.08 90.00°
Fractional positions:
Na  0.177  0.250  0.133
Na  0.823  0.750  0.867
In  0.030  0.250  0.620
In  0.970  0.750  0.380
Te  0.086  0.250  0.857
Te  0.242  0.750  0.597
Te  0.450  0.750  0.122
Te  0.550  0.250  0.878
Te  0.758  0.250  0.403
Te  0.914  0.750  0.143
As  0.338  0.750  0.869
As  0.662  0.250  0.131

Magnetization   0.00 μB per formula unit
Calculated volume   224.2 Å³/f.u.
Space group   P2_1/m
Formation energy without anion corrections   -0.263 eV/atom
Total DFT energy (no corrections)   -39.41 eV per cell
Crystal system   monoclinic